Record 1
4
Lattice="0.0000 2.9673 2.9673 2.9673 0.0000 2.9673 2.9673 2.9673 0.0000" Properties=species:S:1:pos:R:3 comment="RuIO2, relaxed, DFT PBE" de_polymorph_ev_per_fu=4.84 sg="Fm-3m, No. 225" pbc="T T T"
Ru 0.0000 0.0000 0.0000
I 2.9673 2.9673 2.9673
O 1.4836 1.4836 1.4836
O 4.4509 4.4509 4.4509

=====

Record 2
5
Lattice="5.1229 0.0000 0.0000 0.0000 5.1229 0.0000 0.0000 0.0000 4.9785" Properties=species:S:1:pos:R:3 comment="HfAs2PtSe, relaxed, DFT PBE" de_polymorph_ev_per_fu=0.54 sg="P4/mmm, No. 123" pbc="T T T"
Hf 0.0000 0.0000 0.0000
As 0.0000 2.5615 0.0000
As 2.5615 0.0000 0.0000
Pt 2.5615 2.5615 2.4892
Se 0.0000 0.0000 2.4892

=====

no.,M_tot (μB/f.u.),VASP energy (eV per atom),density of states at the Fermi level (states/eV/cell)
1,1.96,-4.3871,2.18
2,0.00,-5.1935,4.88